CsAl2Te PBEsol relaxed; uncorrected energy = -23.9 eV for the cell shown; crystal system = tetragonal; Fermi-level density of states = 1.469 states/eV/f.u.
1.0
7.021 0.000 0.000
3.511 6.234 0.000
3.511 0.000 6.234
Cs Te Al
2 2 4
Direct
0.750 0.500 0.500
0.000 0.000 0.000
0.250 0.500 0.500
0.500 0.000 0.000
0.181 0.944 0.444
0.569 0.056 0.556
0.375 0.444 0.056
0.875 0.556 0.944